5
Lattice="4.029 0.000 0.000 0.000 4.029 0.000 0.000 0.000 5.667" Properties=species:S:1:pos:R:3 comment="SiIO2F, optimized geometry, DFT PBE" n_ef_per_ev_atom=0.574 total_energy_ev_per_atom=-3.576 pbc="T T T"
Si 0.000 0.000 0.000
I 2.014 2.014 2.833
O 0.000 2.014 2.833
O 2.014 0.000 2.833
F 2.014 2.014 0.000